Record 1
TlCrSi2, single point on PBEsol structure, DFT meta-GGA SCAN; raw formation energy = 0.45 eV per atom
1.0
3.051 0.000 0.000
1.525 2.642 0.000
1.525 0.881 8.292
Si Tl Cr
2 1 1
Cartesian
4.576 2.642 6.692
1.525 0.881 1.601
3.051 1.761 4.146
0.000 0.000 0.000



Record 2
TlNi2Ir, single point on PBEsol structure, DFT meta-GGA SCAN; energy of formation from the pure elements = 0.488 eV per atom
1.0
2.825 0.000 0.000
1.413 2.447 0.000
1.413 0.816 8.297
Ir Ni Tl
1 2 1
Cartesian
0.000 0.000 0.000
4.238 2.447 6.350
1.413 0.816 1.947
2.825 1.631 4.149



Energy above the most stable polymorph in this dataset values (in meV per atom) by entry order: 0.0; 138.8.